VASP calculation (PBE-GGA) on NpTaTc2 after structural relaxation.

Cell lengths 4.624, 4.624, 4.624 Å; angles 60.00, 60.00, 60.00 degrees
Fractional coordinates of all 4 atoms:
Np1 0.000 0.000 0.000
Ta1 0.500 0.500 0.500
Tc1 0.250 0.250 0.250
Tc2 0.750 0.750 0.750

Values from the calculation:
The formation enthalpy at 0 K comes out at -0.05 eV/atom. The raw total energy comes out at -11.432 eV per atom. As for the energy above the lowest structure with this stoichiometry: 3.3 kJ/mol of atoms. Its symmetry is Fm-3m, No. 225. Its density of states at the Fermi level is 1.281 states/eV/atom.

VASP calculation (PBE-GGA) on Y4TmSc after structural relaxation.

Cell lengths 10.225, 10.225, 6.490 Å; angles 100.60, 100.60, 139.95 degrees
Fractional coordinates of all 12 atoms:
Y1 0.121 0.372 0.239
Y2 0.197 0.303 0.747
Y3 0.303 0.197 0.247
Y4 0.372 0.121 0.739
Y5 0.628 0.879 0.261
Y6 0.697 0.803 0.753
Y7 0.803 0.697 0.253
Y8 0.879 0.628 0.761
Tm1 0.281 0.719 0.750
Tm2 0.719 0.281 0.250
Sc1 0.221 0.779 0.250
Sc2 0.779 0.221 0.750

Values from the calculation:
The formation enthalpy at 0 K comes out at 0.04 eV/atom. The raw total energy comes out at -6.067 eV per atom. As for the energy above the lowest structure with this stoichiometry: 0.0 kJ/mol of atoms. Its symmetry is C2/c, No. 15. Its density of states at the Fermi level is 1.863 states/eV/atom.